First-principles (PBE) data for a relaxed SrLiMgTl crystal, as listed in the Alexandria database.

Geometry as extended XYZ:
```
4
Lattice="0.000 3.776 3.776 3.776 0.000 3.776 3.776 3.776 0.000" Properties=species:S:1:pos:R:3 pbc="T T T"
Sr 0.000 0.000 0.000
Li 5.665 5.665 5.665
Mg 3.776 3.776 3.776
Tl 1.888 1.888 1.888
```

**VASP energy**: -2.098 eV/atom
**Energy relative to the elements**: -0.2090 eV/atom
**Density of states at the Fermi level**: 1.8 states/eV/cell
**Crystal system**: cubic
**Space-group type**: F-43m (216)

First-principles (PBE) data for a relaxed SrLiMg2Tl crystal, as listed in the Alexandria database.

Geometry as extended XYZ:
```
5
Lattice="5.147 0.000 0.000 0.000 5.147 0.000 0.000 0.000 5.147" Properties=species:S:1:pos:R:3 pbc="T T T"
Sr 0.000 0.000 0.000
Li 2.573 2.573 2.574
Mg 0.000 2.573 2.574
Mg 2.573 0.000 2.574
Tl 2.573 2.573 0.000
```

**VASP energy**: -1.865 eV/atom
**Energy relative to the elements**: -0.0348 eV/atom
**Density of states at the Fermi level**: 2.2 states/eV/cell
**Crystal system**: tetragonal
**Space-group type**: P4/mmm (123)

First-principles (PBE) data for a relaxed Sr2Li12Mg3Tl crystal, as listed in the Alexandria database.

Geometry as extended XYZ:
```
18
Lattice="3.105 1.793 13.753 -3.105 1.793 13.753 0.000 -3.586 13.753" Properties=species:S:1:pos:R:3 pbc="T T T"
Sr 0.000 0.000 6.047
Sr 0.000 0.000 35.212
Li 0.000 -1.882 11.460
Li -1.630 0.941 11.460
Li -1.483 -0.856 18.214
Li -1.630 -0.941 29.799
Li 0.000 -1.713 23.045
Li -1.483 0.856 23.045
Li 1.483 -0.856 18.214
Li 0.000 1.713 18.214
Li 1.630 0.941 11.460
Li 1.483 0.856 23.045
Li 1.630 -0.941 29.799
Li 0.000 1.882 29.799
Mg -1.553 -0.896 13.753
Mg -1.553 0.896 27.506
Mg 0.000 1.793 13.753
Tl 0.000 0.000 20.630
```

**VASP energy**: -1.812 eV/atom
**Energy relative to the elements**: 0.0475 eV/atom
**Density of states at the Fermi level**: 7.3 states/eV/cell
**Crystal system**: trigonal
**Space-group type**: R-3m (166)

First-principles (PBE) data for a relaxed SrLi2MgTl4 crystal, as listed in the Alexandria database.

Geometry as extended XYZ:
```
8
Lattice="2.452 1.416 10.126 -2.452 1.416 10.126 0.000 -2.832 10.126" Properties=species:S:1:pos:R:3 pbc="T T T"
Sr 0.000 0.000 0.000
Li 0.000 0.000 6.874
Li 0.000 0.000 23.505
Mg 0.000 0.000 15.190
Tl 0.000 0.000 3.671
Tl 0.000 0.000 12.102
Tl 0.000 0.000 18.277
Tl 0.000 0.000 26.708
```

**VASP energy**: -2.304 eV/atom
**Energy relative to the elements**: -0.2331 eV/atom
**Density of states at the Fermi level**: 3.1 states/eV/cell
**Crystal system**: trigonal
**Space-group type**: R-3m (166)

First-principles (PBE) data for a relaxed SrLiTmMg crystal, as listed in the Alexandria database.

Geometry as extended XYZ:
```
4
Lattice="0.000 3.941 3.941 3.941 0.000 3.941 3.941 3.941 0.000" Properties=species:S:1:pos:R:3 pbc="T T T"
Sr 0.000 0.000 0.000
Li 5.912 5.912 5.912
Tm 3.941 3.941 3.941
Mg 1.971 1.971 1.971
```

**VASP energy**: -2.308 eV/atom
**Energy relative to the elements**: 0.1071 eV/atom
**Density of states at the Fermi level**: 4.0 states/eV/cell
**Crystal system**: cubic
**Space-group type**: F-43m (216)

First-principles (PBE) data for a relaxed Sr2Li12MgZn3 crystal, as listed in the Alexandria database.

Geometry as extended XYZ:
```
18
Lattice="4.990 2.881 4.662 -4.990 2.881 4.662 0.000 -5.762 4.662" Properties=species:S:1:pos:R:3 pbc="T T T"
Sr 0.000 0.000 3.448
Sr 0.000 0.000 10.537
Li 0.000 -3.256 3.795
Li -2.820 1.628 3.795
Li -2.370 -1.368 7.457
Li 0.000 -2.737 6.528
Li -2.370 1.368 6.528
Li -2.820 -1.628 10.189
Li 2.820 1.628 3.795
Li 2.370 -1.368 7.457
Li 0.000 2.737 7.457
Li 2.370 1.368 6.528
Li 2.820 -1.628 10.189
Li 0.000 3.256 10.189
Mg 0.000 0.000 6.992
Zn -2.495 -1.440 4.662
Zn -2.495 1.440 9.323
Zn 0.000 2.881 4.662
```

**VASP energy**: -1.723 eV/atom
**Energy relative to the elements**: 0.0404 eV/atom
**Density of states at the Fermi level**: 10.9 states/eV/cell
**Crystal system**: trigonal
**Space-group type**: R-3m (166)

First-principles (PBE) data for a relaxed SrLi6MgZn crystal, as listed in the Alexandria database.

Geometry as extended XYZ:
```
18
Lattice="-3.450 5.072 6.334 3.450 -5.072 6.334 3.450 5.072 -6.334" Properties=species:S:1:pos:R:3 pbc="T T T"
Sr 0.000 2.536 2.293
Sr 3.450 2.536 4.041
Li 2.087 -0.156 1.539
Li 4.812 -0.156 1.539
Li 3.450 -2.536 5.449
Li 3.450 2.536 0.058
Li 2.087 4.915 -1.539
Li 1.362 -0.156 4.796
Li 2.087 5.228 1.539
Li 1.362 0.156 7.873
Li 0.000 2.536 6.276
Li 0.000 7.608 0.885
Li -1.362 5.228 4.796
Li 1.362 5.228 4.796
Mg 1.725 2.536 -3.167
Mg 1.725 -2.536 3.167
Zn 0.000 0.000 0.000
Zn 0.000 5.072 0.000
```

**VASP energy**: -1.704 eV/atom
**Energy relative to the elements**: 0.0778 eV/atom
**Density of states at the Fermi level**: 8.1 states/eV/cell
**Crystal system**: orthorhombic
**Space-group type**: Imma (74)

First-principles (PBE) data for a relaxed Sr2Li2MgZn crystal, as listed in the Alexandria database.

Geometry as extended XYZ:
```
12
Lattice="8.551 -3.430 0.000 8.551 3.430 0.000 -2.707 0.000 6.262" Properties=species:S:1:pos:R:3 pbc="T T T"
Sr 1.694 0.000 2.547
Sr 5.539 0.000 0.504
Sr 8.856 0.000 5.758
Sr 12.701 0.000 3.715
Li -0.774 0.000 5.419
Li 5.133 0.000 4.272
Li 9.262 0.000 1.991
Li 15.170 0.000 0.843
Mg 7.198 1.716 3.131
Mg 7.198 -1.716 3.131
Zn 8.551 1.712 0.000
Zn 8.551 -1.712 0.000
```

**VASP energy**: -1.717 eV/atom
**Energy relative to the elements**: -0.0407 eV/atom
**Density of states at the Fermi level**: 10.6 states/eV/cell
**Crystal system**: monoclinic
**Space-group type**: C2/m (12)

First-principles (PBE) data for a relaxed Sr2Li5MgZn2 crystal, as listed in the Alexandria database.

Geometry as extended XYZ:
```
20
Lattice="10.822 0.000 0.000 0.000 10.822 0.000 0.000 0.000 4.288" Properties=species:S:1:pos:R:3 pbc="T T T"
Sr 1.946 3.465 0.000
Sr 3.465 8.876 0.000
Sr 7.357 1.946 0.000
Sr 8.876 7.357 0.000
Li 0.000 5.411 2.144
Li 0.692 8.494 2.144
Li 2.328 0.692 2.144
Li 3.083 6.103 2.144
Li 4.719 3.083 2.144
Li 5.411 0.000 2.144
Li 6.103 7.739 2.144
Li 7.739 4.719 2.144
Li 8.494 10.130 2.144
Li 10.130 2.328 2.144
Mg 0.000 0.000 0.000
Mg 5.411 5.411 0.000
Zn 1.222 6.633 0.000
Zn 4.189 1.222 0.000
Zn 6.633 9.600 0.000
Zn 9.600 4.189 0.000
```

**VASP energy**: -1.767 eV/atom
**Energy relative to the elements**: -0.0592 eV/atom
**Density of states at the Fermi level**: 7.4 states/eV/cell
**Crystal system**: tetragonal
**Space-group type**: P4/mbm (127)

First-principles (PBE) data for a relaxed Sr2LiMg5Zn2 crystal, as listed in the Alexandria database.

Geometry as extended XYZ:
```
20
Lattice="10.899 0.000 0.000 0.000 10.899 0.000 0.000 0.000 4.412" Properties=species:S:1:pos:R:3 pbc="T T T"
Sr 1.963 3.486 0.000
Sr 3.486 8.936 0.000
Sr 7.412 1.963 0.000
Sr 8.936 7.412 0.000
Li 0.000 0.000 0.000
Li 5.449 5.449 0.000
Mg 0.000 5.449 2.206
Mg 0.643 8.638 2.206
Mg 2.261 0.643 2.206
Mg 3.188 6.092 2.206
Mg 4.807 3.188 2.206
Mg 5.449 0.000 2.206
Mg 6.092 7.711 2.206
Mg 7.711 4.807 2.206
Mg 8.638 10.256 2.206
Mg 10.256 2.261 2.206
Zn 1.245 6.695 0.000
Zn 4.204 1.245 0.000
Zn 6.695 9.653 0.000
Zn 9.653 4.204 0.000
```

**VASP energy**: -1.673 eV/atom
**Energy relative to the elements**: -0.0933 eV/atom
**Density of states at the Fermi level**: 13.7 states/eV/cell
**Crystal system**: tetragonal
**Space-group type**: P4/mbm (127)

First-principles (PBE) data for a relaxed SrLiMg2Zn crystal, as listed in the Alexandria database.

Geometry as extended XYZ:
```
5
Lattice="5.148 0.000 0.000 0.000 5.148 0.000 0.000 0.000 5.178" Properties=species:S:1:pos:R:3 pbc="T T T"
Sr 0.000 0.000 0.000
Li 2.574 2.574 0.000
Mg 0.000 2.574 2.589
Mg 2.574 0.000 2.589
Zn 2.574 2.574 2.589
```

**VASP energy**: -1.606 eV/atom
**Energy relative to the elements**: 0.0062 eV/atom
**Density of states at the Fermi level**: 2.8 states/eV/cell
**Crystal system**: tetragonal
**Space-group type**: P4/mmm (123)

First-principles (PBE) data for a relaxed Sr2LiMg12Zn3 crystal, as listed in the Alexandria database.

Geometry as extended XYZ:
```
18
Lattice="4.383 2.530 7.601 -4.383 2.530 7.601 0.000 -5.061 7.601" Properties=species:S:1:pos:R:3 pbc="T T T"
Sr 0.000 0.000 1.859
Sr 0.000 0.000 20.942
Li 0.000 0.000 11.401
Mg -2.724 -1.573 10.507
Mg 0.000 -1.775 9.041
Mg -1.537 0.887 9.041
Mg 0.000 -3.145 12.295
Mg -2.724 1.573 12.295
Mg -1.537 -0.887 13.760
Mg 1.537 0.887 9.041
Mg 2.724 -1.573 10.507
Mg 0.000 3.145 10.507
Mg 1.537 -0.887 13.760
Mg 0.000 1.775 13.760
Mg 2.724 1.573 12.295
Zn -2.191 -1.265 7.601
Zn -2.191 1.265 15.201
Zn 0.000 2.530 7.601
```

**VASP energy**: -1.368 eV/atom
**Energy relative to the elements**: 0.2004 eV/atom
**Density of states at the Fermi level**: 10.4 states/eV/cell
**Crystal system**: trigonal
**Space-group type**: R-3m (166)